# GdPbI2

Crystalline GdPbI2 at its relaxed geometry (PBE, Alexandria).

Properties
total DFT energy (no corrections): -5.53 eV per atom
space-group type: R-3m (166)
Fermi-level density of states: 1.1707 states/eV/atom

Geometry as POSCAR:
```
GdPbI2
1.0
-3.6492 1.0589 1.1775
-2.9541 -2.6639 -0.0400
0.3611 -3.5363 11.0190
I Gd Pb
2 1 1
Cartesian
-5.9314 -2.3921 3.9280
-0.3109 -2.7491 8.2284
0.0000 0.0000 0.0000
-3.1211 -2.5706 6.0782
```

# Tb2Dy5Y3

Crystalline Tb2Dy5Y3 at its relaxed geometry (PBE, Alexandria).

Properties
space-group type: C2/c (15)
Fermi-level density of states: 2.0145 states/eV/atom
calculated formation energy: 204 meV/atom

Geometry as POSCAR:
```
Tb2Dy5Y3
1.0
-8.6770 -2.6304 2.8055
0.3596 -6.4060 7.0223
4.1120 10.3164 0.3779
Dy Tb Y
10 4 6
Cartesian
-0.2263 5.7563 2.2586
-3.9792 -4.4763 7.9470
-2.1952 2.5637 3.6413
-4.1810 1.4603 6.9308
-0.0245 -0.1804 3.2749
-1.9917 -3.5825 4.4664
2.3233 0.6526 5.7285
-2.0102 -1.2837 6.5643
-2.2137 4.8624 5.7393
-6.5287 0.6273 4.4771
-3.4722 -0.4777 3.5281
-0.7333 1.7577 6.6775
-0.5311 -4.2209 7.6555
-3.6743 5.5009 2.5501
-6.5094 -1.7676 2.2913
0.9568 3.6360 4.7314
-5.1623 -2.3561 5.4742
1.1597 -2.4392 5.6211
2.3039 3.0476 7.9143
-5.3652 3.7192 4.5845
```